4
Lattice="-0.793 1.789 2.148 -2.025 -1.508 -1.439 0.863 -7.119 6.245" Properties=species:S:1:pos:R:3 comment="Al2RuSe (PBE, relaxed)" space_group=Cmm2 vol_a3_per_fu=69.8 formation_energy_uncorrected_ev_per_atom=0.1469 pbc="T T T"
Ru 0.425 -3.512 3.081
Al 0.022 -0.182 0.159
Al -1.171 -1.825 2.079
Se -0.801 -4.879 4.758



5
Lattice="4.726 0.000 0.000 0.000 4.726 0.000 0.000 0.000 4.726" Properties=species:S:1:pos:R:3 comment="Al3RuSe (PBE, relaxed)" polymorph_energy_mev_per_atom=0 space_group=Pm-3m vol_a3_per_fu=105.6 formation_energy_uncorrected_ev_per_atom=0.0386 pbc="T T T"
Ru 0.000 0.000 0.000
Al 0.000 2.363 0.000
Al 0.000 0.000 2.363
Al 2.363 0.000 0.000
Se 2.363 2.363 2.363



4
Lattice="-2.805 5.282 1.989 -6.047 1.204 1.305 5.380 -3.183 0.800" Properties=species:S:1:pos:R:3 comment="AlRuSe2 (PBE, relaxed)" space_group=Imm2 vol_a3_per_fu=73.7 formation_energy_uncorrected_ev_per_atom=0.0060 pbc="T T T"
Ru -2.428 0.546 1.832
Al -3.809 2.791 1.417
Se -0.500 0.367 0.186
Se -1.159 2.843 2.305



6
Lattice="-1.647 -4.841 0.388 -4.163 -1.076 2.794 -4.347 -1.423 -2.319" Properties=species:S:1:pos:R:3 comment="AlRu4Se (PBE, relaxed)" space_group=F-43m vol_a3_per_fu=95.4 formation_energy_uncorrected_ev_per_atom=0.5599 pbc="T T T"
Al 0.000 0.000 0.000
Ru -4.178 -3.875 1.695
Ru -4.269 -4.048 -0.853
Ru -6.344 -4.584 0.540
Ru -5.523 -2.172 0.346
Se -2.539 -1.835 0.216



4
Lattice="4.358 0.002 0.000 3.359 2.778 0.000 0.978 0.352 4.882" Properties=species:S:1:pos:R:3 comment="AlRu2Se (PBE, relaxed)" polymorph_energy_mev_per_atom=134 space_group=C2/m vol_a3_per_fu=59.1 formation_energy_uncorrected_ev_per_atom=-0.0837 pbc="T T T"
Ru 8.640 3.112 4.848
Ru 4.403 1.586 2.476
Al 2.174 0.783 1.221
Se 6.521 2.349 3.662



4
Lattice="4.884 -0.008 0.000 1.400 4.679 0.000 -3.142 -2.335 2.920" Properties=species:S:1:pos:R:3 comment="AlRuSe2 (PBE, relaxed)" space_group=I-4m2 vol_a3_per_fu=66.8 formation_energy_uncorrected_ev_per_atom=0.2990 pbc="T T T"
Ru 2.442 -0.004 1.460
Al 3.142 2.335 0.000
Se 0.000 0.000 0.000
Se 0.700 2.340 1.460